# Cs12Tl3H5 PBE optimized geometry
# N(E_F): 110.45 states/eV per cell
# magnetic moment: 5.3 μB per formula unit
# electronic total energy: -0.063 hartree per atom
data_Cs12Tl3H5
_chemical_formula_sum 'Cs96 Tl24 H40'
_cell_length_a 20.434
_cell_length_b 20.434
_cell_length_c 20.434
_cell_angle_alpha 90.00
_cell_angle_beta 90.00
_cell_angle_gamma 90.00
_symmetry_space_group_name_H-M 'I a -3 d'
_symmetry_Int_Tables_number 230
_symmetry_space_group_name_Hall '-I 4bd 2c 3'
loop_
_atom_site_label
_atom_site_fract_x
_atom_site_fract_y
_atom_site_fract_z
Cs1 0.033 0.050 0.649
Tl1 0.000 0.250 0.125
H1 0.000 0.000 0.000
H2 0.000 0.250 0.375